Entry 1:
Entry from the Open Quantum Materials Database: a relaxed structure of DyHo2Al (PBE-GGA).

Calculated values
offset from the most stable computed form = 30 meV per atom

Cell: 5.005 6.695 6.695 Å, 102.59 90.00 90.00°
Sites, in units of the cell vectors:
Dy 0.250 0.112 0.888
Dy 0.750 0.888 0.112
Ho 0.250 0.179 0.414
Ho 0.250 0.703 0.481
Ho 0.750 0.414 0.179
Ho 0.750 0.481 0.703
Al 0.250 0.621 0.970
Al 0.750 0.970 0.621

***

Entry 2:
Entry from the Open Quantum Materials Database: a relaxed structure of Dy2HoAl (PBE-GGA).

Calculated values
offset from the most stable computed form = 31 meV per atom

Cell: 5.003 6.696 6.696 Å, 102.41 90.00 90.00°
Sites, in units of the cell vectors:
Dy 0.250 0.111 0.889
Dy 0.250 0.179 0.414
Dy 0.750 0.414 0.179
Dy 0.750 0.889 0.111
Ho 0.250 0.704 0.481
Ho 0.750 0.481 0.704
Al 0.250 0.621 0.970
Al 0.750 0.970 0.621

***

Entry 3:
Entry from the Open Quantum Materials Database: a relaxed structure of Dy2Ho2Al (PBE-GGA).

Calculated values
total DFT energy (no corrections) = -4.453 eV/atom

Cell: 6.750 6.750 6.750 Å, 148.80 107.92 80.62°
Sites, in units of the cell vectors:
Dy 0.247 0.247 0.000
Dy 0.753 0.753 0.000
Ho 0.301 0.000 0.301
Ho 0.699 0.000 0.699
Al 0.000 0.500 0.500

***

Entry 4:
Entry from the Open Quantum Materials Database: a relaxed structure of DyHo2Mg3Al2In (PBE-GGA).

Calculated values
total DFT energy (no corrections) = -3.517 eV/atom

Cell: 4.592 7.378 7.378 Å, 120.09 90.00 90.00°
Sites, in units of the cell vectors:
Dy 0.000 0.000 0.000
Ho 0.000 0.124 0.562
Ho 0.000 0.562 0.124
Mg 0.500 0.316 0.316
Mg 0.500 0.562 0.808
Mg 0.500 0.808 0.562
Al 0.500 0.229 0.895
Al 0.500 0.895 0.229
In 0.000 0.561 0.561

***

Entry 5:
Entry from the Open Quantum Materials Database: a relaxed structure of DyHoAlIr2 (PBE-GGA).

Calculated values
total DFT energy (no corrections) = -7.074 eV/atom

Cell: 5.541 5.541 5.541 Å, 136.65 116.50 80.01°
Sites, in units of the cell vectors:
Dy 0.000 0.000 0.000
Ho 0.604 0.604 0.000
Al 0.302 0.802 0.500
Ir 0.042 0.302 0.740
Ir 0.562 0.302 0.260

***

Entry 6:
Entry from the Open Quantum Materials Database: a relaxed structure of DyHo2Mg4Al2 (PBE-GGA).

Calculated values
total DFT energy (no corrections) = -3.270 eV/atom

Cell: 4.557 7.466 7.466 Å, 120.11 90.00 90.00°
Sites, in units of the cell vectors:
Dy 0.000 0.000 0.000
Ho 0.000 0.127 0.564
Ho 0.000 0.564 0.127
Mg 0.000 0.563 0.563
Mg 0.500 0.314 0.314
Mg 0.500 0.563 0.813
Mg 0.500 0.813 0.563
Al 0.500 0.231 0.897
Al 0.500 0.897 0.231

***

Entry 7:
Entry from the Open Quantum Materials Database: a relaxed structure of DyHoAl4Ni2 (PBE-GGA).

Calculated values
total DFT energy (no corrections) = -5.056 eV/atom

Cell: 6.860 5.461 5.461 Å, 43.49 90.00 90.00°
Sites, in units of the cell vectors:
Dy 0.000 0.000 0.000
Ho 0.500 0.123 0.123
Al 0.195 0.718 0.718
Al 0.305 0.405 0.405
Al 0.695 0.405 0.405
Al 0.805 0.718 0.718
Ni 0.000 0.277 0.277
Ni 0.500 0.846 0.846

***

Entry 8:
Entry from the Open Quantum Materials Database: a relaxed structure of Dy2HoAl3Ni3 (PBE-GGA).

Calculated values
total DFT energy (no corrections) = -5.248 eV/atom

Cell: 3.892 6.935 6.935 Å, 120.03 90.00 90.00°
Sites, in units of the cell vectors:
Dy 0.000 0.208 0.792
Dy 0.000 0.792 0.208
Ho 0.000 0.625 0.625
Al 0.500 0.209 0.444
Al 0.500 0.444 0.209
Al 0.500 0.972 0.972
Ni 0.000 0.209 0.209
Ni 0.500 0.542 0.874
Ni 0.500 0.874 0.542